Entry 1:
Entry from Alexandria via LeMat-Bulk: a relaxed TbSc5Te6 crystal (GGA-PBE).

Lattice parameters (Å, degrees): 7.273 7.272 7.279 60.03 80.45 70.61
Fractional positions:
1 Sc 0.000 0.667 0.665
2 Te 0.260 0.567 0.347
3 Te 0.246 0.265 0.000
4 Sc 0.500 0.848 0.303
5 Sc 0.000 0.333 0.335
6 Te 0.740 0.433 0.653
7 Te 0.754 0.735 0.000
8 Sc 0.500 0.152 0.697
9 Te 0.260 0.914 0.653
10 Te 0.740 0.086 0.347
11 Tb 0.000 0.000 0.000
12 Sc 0.500 0.500 0.000

total DFT energy (no corrections) = -5.73 eV per atom
symmetry = C2/m, No. 12
crystal system = monoclinic
density of states at the Fermi level = 7.01 states/eV/cell


Entry 2:
Entry from Alexandria via LeMat-Bulk: a relaxed Th2ZrS6 crystal (GGA-PBE).

Lattice parameters (Å, degrees): 6.358 6.358 12.352 90.00 90.00 90.00
Fractional positions:
1 S 0.310 0.310 0.345
2 S 0.690 0.690 0.655
3 S 0.810 0.190 0.155
4 S 0.705 0.705 0.000
5 S 0.310 0.310 0.655
6 Zr 0.000 0.000 0.000
7 Th 0.500 0.500 0.831
8 S 0.190 0.810 0.845
9 S 0.190 0.810 0.155
10 Th 0.000 0.000 0.669
11 S 0.295 0.295 0.000
12 S 0.810 0.190 0.845
13 S 0.205 0.795 0.500
14 S 0.795 0.205 0.500
15 S 0.690 0.690 0.345
16 Th 0.500 0.500 0.169
17 Zr 0.500 0.500 0.500
18 Th 0.000 0.000 0.331

total DFT energy (no corrections) = -7.04 eV per atom
symmetry = P4_2/mnm, No. 136
crystal system = tetragonal


Entry 3:
Entry from Alexandria via LeMat-Bulk: a relaxed RbTaBi2 crystal (GGA-PBE).

Lattice parameters (Å, degrees): 7.924 7.924 8.398 61.85 61.85 90.00
Fractional positions:
1 Rb 0.250 0.750 0.500
2 Ta 0.750 0.250 0.500
3 Ta 0.000 0.000 0.000
4 Bi 0.000 0.625 0.250
5 Rb 0.500 0.500 0.000
6 Bi 0.875 0.000 0.750
7 Bi 0.750 0.125 0.250
8 Bi 0.375 0.250 0.750

formation enthalpy at 0 K = 1.58 eV per formula unit
symmetry = I-42d, No. 122
distance to the lowest polymorph of the same formula = 0.0 meV per atom
crystal system = tetragonal
density of states at the Fermi level = 0.25 states/eV/cell


Entry 4:
Entry from Alexandria via LeMat-Bulk: a relaxed CaEr3In2 crystal (GGA-PBE).

Lattice parameters (Å, degrees): 5.369 6.773 9.288 90.00 90.00 90.00
Fractional positions:
1 Ca 0.500 0.501 0.502
2 Er 0.500 0.746 0.164
3 Er 0.000 0.999 0.002
4 In 0.000 0.251 0.670
5 Er 0.000 0.254 0.330
6 Er 0.500 0.246 0.836
7 In 0.500 0.249 0.165
8 In 0.500 0.749 0.835
9 Er 0.000 0.499 0.998
10 In 0.000 0.751 0.330
11 Ca 0.500 0.001 0.498
12 Er 0.000 0.754 0.670

formation enthalpy at 0 K = -2.14 eV per formula unit
symmetry = Pmc2_1, No. 26
distance to the lowest polymorph of the same formula = 0.0 meV per atom
crystal system = orthorhombic
density of states at the Fermi level = 7.67 states/eV/cell


Entry 5:
Entry from Alexandria via LeMat-Bulk: a relaxed Rb4Cd5Au3 crystal (GGA-PBE).

Lattice parameters (Å, degrees): 5.193 8.285 10.752 100.42 103.97 90.00
Fractional positions:
1 Au 0.307 0.832 0.615
2 Cd 0.564 0.233 0.127
3 Rb 0.907 0.088 0.814
4 Au 0.500 0.500 0.000
5 Rb 0.093 0.912 0.186
6 Au 0.693 0.168 0.385
7 Rb 0.828 0.512 0.656
8 Cd 0.000 0.500 0.000
9 Rb 0.172 0.488 0.344
10 Cd 0.436 0.767 0.873
11 Cd 0.744 0.868 0.488
12 Cd 0.256 0.132 0.512

formation enthalpy at 0 K = -1.78 eV per formula unit
symmetry = C2/m, No. 12
crystal system = monoclinic
density of states at the Fermi level = 4.99 states/eV/cell


Entry 6:
Entry from Alexandria via LeMat-Bulk: a relaxed Zr2TiNb2 crystal (GGA-PBE).

Lattice parameters (Å, degrees): 7.291 7.291 3.917 90.00 90.00 90.00
Site moments in Bohr magnetons follow the coordinates.
Fractional positions:
1 Nb 0.357 0.857 0.000  0.03
2 Zr 0.662 0.838 0.500  0.00
3 Nb 0.857 0.643 0.000  0.03
4 Zr 0.338 0.162 0.500  0.00
5 Zr 0.162 0.662 0.500  0.00
6 Zr 0.838 0.338 0.500  0.00
7 Ti 0.000 0.000 0.000  0.14
8 Ti 0.500 0.500 0.000  0.14
9 Nb 0.143 0.357 0.000  0.03
10 Nb 0.643 0.143 0.000  0.03

formation enthalpy at 0 K = 1.29 eV per formula unit
symmetry = P4/mbm, No. 127
crystal system = tetragonal
density of states at the Fermi level = 13.70 states/eV/cell


Entry 7:
Entry from Alexandria via LeMat-Bulk: a relaxed TbPm2Gd crystal (GGA-PBE).

Lattice parameters (Å, degrees): 3.615 3.615 11.945 81.30 81.30 60.00
Site moments in Bohr magnetons follow the coordinates.
Fractional positions:
1 Tb 0.000 0.000 0.000  -0.05
2 Gd 0.500 0.500 0.500  7.16
3 Pm 0.750 0.750 0.751  -0.03
4 Pm 0.250 0.250 0.249  -0.03

formation enthalpy at 0 K = 0.06 eV per formula unit
symmetry = R-3m, No. 166
distance to the lowest polymorph of the same formula = 1.4 meV per atom
crystal system = trigonal
density of states at the Fermi level = 5.68 states/eV/cell


Entry 8:
Entry from Alexandria via LeMat-Bulk: a relaxed Cu2AsIr crystal (GGA-PBE).

Lattice parameters (Å, degrees): 4.569 4.569 2.925 89.99 89.99 113.85
Fractional positions:
1 Ir 0.500 0.000 0.500
2 Cu 0.500 0.500 0.000
3 Cu 0.000 0.000 0.000
4 As 0.000 0.500 0.500

formation enthalpy at 0 K = 0.54 eV per formula unit
symmetry = Cmmm, No. 65
crystal system = orthorhombic
density of states at the Fermi level = 3.31 states/eV/cell


Entry 9:
Entry from Alexandria via LeMat-Bulk: a relaxed Zn2RhBr crystal (GGA-PBE).

Lattice parameters (Å, degrees): 5.147 5.147 5.147 135.61 135.61 64.58
Fractional positions:
1 Rh 0.750 0.250 0.500
2 Zn 0.500 0.500 0.000
3 Zn 0.000 0.000 0.000
4 Br 0.250 0.750 0.500

symmetry = I4/mmm, No. 139
distance to the lowest polymorph of the same formula = 435.2 meV per atom
crystal system = tetragonal
density of states at the Fermi level = 1.70 states/eV/cell


Entry 10:
Entry from Alexandria via LeMat-Bulk: a relaxed PuMg2Pb3 crystal (GGA-PBE).

Lattice parameters (Å, degrees): 3.613 5.564 16.009 90.00 90.00 90.00
Site moments in Bohr magnetons follow the coordinates.
Fractional positions:
1 Pb 0.500 0.000 0.822  0.00
2 Mg 0.000 0.500 0.162  0.00
3 Mg 0.000 0.000 0.662  0.00
4 Pb 0.499 0.000 0.500  -0.03
5 Pu 0.001 0.000 0.000  5.51
6 Pb 0.500 0.500 0.678  0.00
7 Mg 0.000 0.000 0.338  0.00
8 Pb 0.500 0.500 0.322  0.00
9 Pb 0.501 0.500 0.000  -0.03
10 Mg 0.000 0.500 0.838  0.00
11 Pu 0.999 0.500 0.500  5.51
12 Pb 0.500 0.000 0.178  0.00

formation enthalpy at 0 K = -0.56 eV per formula unit
symmetry = Cmmm, No. 65
distance to the lowest polymorph of the same formula = 13.8 meV per atom
crystal system = orthorhombic
density of states at the Fermi level = 21.71 states/eV/cell


Entry 11:
Entry from Alexandria via LeMat-Bulk: a relaxed Li2La3ZnPd9 crystal (GGA-PBE).

Lattice parameters (Å, degrees): 6.848 6.848 7.051 90.00 90.00 120.00
Fractional positions:
1 Pd 0.638 0.819 0.335
2 Pd 0.500 0.500 0.000
3 Li 0.333 0.667 0.136
4 La 0.333 0.667 0.670
5 Pd 0.500 0.000 0.000
6 Zn 0.000 0.000 0.500
7 Pd 0.819 0.181 0.665
8 La 0.667 0.333 0.330
9 Pd 0.362 0.181 0.665
10 La 0.000 0.000 0.000
11 Pd 0.181 0.362 0.335
12 Li 0.667 0.333 0.864
13 Pd 0.000 0.500 0.000
14 Pd 0.819 0.638 0.665
15 Pd 0.181 0.819 0.335

formation enthalpy at 0 K = -7.51 eV per formula unit
symmetry = P-3m1, No. 164
crystal system = trigonal
density of states at the Fermi level = 5.18 states/eV/cell


Entry 12:
Entry from Alexandria via LeMat-Bulk: a relaxed TmTaRh2 crystal (GGA-PBE).

Lattice parameters (Å, degrees): 4.636 4.636 4.636 60.00 60.00 60.00
Fractional positions:
1 Rh 0.250 0.250 0.250
2 Ta 0.500 0.500 0.500
3 Tm 0.000 0.000 0.000
4 Rh 0.750 0.750 0.750

formation enthalpy at 0 K = -2.17 eV per formula unit
symmetry = Fm-3m, No. 225
distance to the lowest polymorph of the same formula = 96.6 meV per atom
crystal system = cubic
density of states at the Fermi level = 5.03 states/eV/cell


Entry 13:
Entry from Alexandria via LeMat-Bulk: a relaxed PmNdSnIr crystal (GGA-PBE).

Lattice parameters (Å, degrees): 5.247 5.247 5.247 60.00 60.00 60.00
Fractional positions:
1 Nd 0.750 0.750 0.750
2 Ir 0.000 0.000 0.000
3 Sn 0.500 0.500 0.500
4 Pm 0.250 0.250 0.250

formation enthalpy at 0 K = -1.95 eV per formula unit
symmetry = F-43m, No. 216
crystal system = cubic
density of states at the Fermi level = 3.15 states/eV/cell


Entry 14:
Entry from Alexandria via LeMat-Bulk: a relaxed Sc3ZnC crystal (GGA-PBE).

Lattice parameters (Å, degrees): 6.018 5.687 5.773 92.13 72.61 86.88
Fractional positions:
1 Zn 0.884 0.356 0.408
2 Sc 0.121 0.625 0.018
3 Sc 0.112 0.939 0.536
4 Sc 0.375 0.463 0.434
5 C 0.375 0.767 0.697
6 Sc 0.629 0.908 0.375
7 Sc 0.376 0.070 0.959
8 Sc 0.639 0.594 0.857
9 C 0.375 0.767 0.197
10 Zn 0.867 0.177 0.985

formation enthalpy at 0 K = -1.58 eV per formula unit
symmetry = P-1, No. 2
distance to the lowest polymorph of the same formula = 121.3 meV per atom
crystal system = triclinic
density of states at the Fermi level = 8.96 states/eV/cell


Entry 15:
Entry from Alexandria via LeMat-Bulk: a relaxed BePb2 crystal (GGA-PBE).

Lattice parameters (Å, degrees): 7.458 7.458 3.814 90.00 90.00 131.44
Fractional positions:
1 Be 0.918 0.918 0.250
2 Pb 0.123 0.380 0.250
3 Pb 0.380 0.123 0.250
4 Pb 0.877 0.620 0.750
5 Be 0.082 0.082 0.750
6 Pb 0.620 0.877 0.750

formation enthalpy at 0 K = 0.88 eV per formula unit
symmetry = Cmcm, No. 63
distance to the lowest polymorph of the same formula = 6.1 meV per atom
crystal system = orthorhombic
density of states at the Fermi level = 0.83 states/eV/cell


Entry 16:
Entry from Alexandria via LeMat-Bulk: a relaxed Ba2LiAuS crystal (GGA-PBE).

Lattice parameters (Å, degrees): 6.128 6.128 4.496 90.00 90.00 90.00
Site moments in Bohr magnetons follow the coordinates.
Fractional positions:
1 Li 0.000 0.000 0.500  0.02
2 Ba 0.500 0.000 0.000  0.07
3 Au 0.500 0.500 0.500  0.02
4 S 0.000 0.000 0.000  0.01
5 Ba 0.000 0.500 0.000  0.07

total DFT energy (no corrections) = -3.56 eV per atom
symmetry = P4/mmm, No. 123
crystal system = tetragonal
density of states at the Fermi level = 4.29 states/eV/cell


Entry 17:
Entry from Alexandria via LeMat-Bulk: a relaxed Th4GaIrS2 crystal (GGA-PBE).

Lattice parameters (Å, degrees): 4.126 7.213 7.358 70.71 90.00 90.00
Fractional positions:
1 Th 0.000 0.262 0.237
2 Ga 0.000 0.500 0.500
3 Th 0.500 0.754 0.240
4 S 0.500 0.000 0.500
5 S 0.000 0.000 0.000
6 Th 0.500 0.246 0.760
7 Ir 0.500 0.500 0.000
8 Th 0.000 0.738 0.763

total DFT energy (no corrections) = -7.41 eV per atom
symmetry = P2/m, No. 10
crystal system = monoclinic
density of states at the Fermi level = 7.35 states/eV/cell


Entry 18:
Entry from Alexandria via LeMat-Bulk: a relaxed Y4Al2N crystal (GGA-PBE).

Lattice parameters (Å, degrees): 4.708 4.708 8.417 73.76 73.76 90.00
Fractional positions:
1 Y 0.835 0.835 0.331
2 Al 0.634 0.634 0.732
3 Y 0.165 0.165 0.669
4 Y 0.500 0.000 0.000
5 Y 0.000 0.500 0.000
6 Al 0.366 0.366 0.268
7 N 0.000 0.000 0.000

total DFT energy (no corrections) = -6.60 eV per atom
symmetry = I4/mmm, No. 139
crystal system = tetragonal
density of states at the Fermi level = 5.30 states/eV/cell


Entry 19:
Entry from Alexandria via LeMat-Bulk: a relaxed TaSbMo2 crystal (GGA-PBE).

Lattice parameters (Å, degrees): 3.458 3.458 5.947 90.00 90.00 90.00
Fractional positions:
1 Mo 0.000 0.000 0.983
2 Sb 0.000 0.000 0.488
3 Mo 0.500 0.500 0.263
4 Ta 0.500 0.500 0.765

total DFT energy (no corrections) = -9.22 eV per atom
symmetry = P4mm, No. 99
crystal system = tetragonal
density of states at the Fermi level = 3.59 states/eV/cell


Entry 20:
Entry from Alexandria via LeMat-Bulk: a relaxed NbRu3Br crystal (GGA-PBE).

Lattice parameters (Å, degrees): 4.830 4.830 4.830 90.00 90.00 90.00
Site moments in Bohr magnetons follow the coordinates.
Fractional positions:
1 Ru 0.000 0.000 0.500  1.37
2 Nb 0.000 0.000 0.000  -0.37
3 Ru 0.500 0.000 0.000  1.17
4 Ru 0.000 0.500 0.000  1.50
5 Br 0.500 0.500 0.500  0.19

symmetry = Pm-3m, No. 221
distance to the lowest polymorph of the same formula = 221.9 meV per atom
crystal system = cubic
density of states at the Fermi level = 4.94 states/eV/cell


Entry 21:
Entry from Alexandria via LeMat-Bulk: a relaxed Tb4NdY2Mg crystal (GGA-PBE).

Lattice parameters (Å, degrees): 5.800 9.474 5.796 52.31 90.00 90.00
Fractional positions:
1 Tb 0.500 0.743 0.256
2 Y 0.500 0.000 0.500
3 Tb 0.000 0.743 0.758
4 Tb 0.000 0.257 0.242
5 Nd 0.000 0.500 0.500
6 Mg 0.500 0.500 0.000
7 Y 0.000 0.000 0.000
8 Tb 0.500 0.257 0.744

formation enthalpy at 0 K = 0.74 eV per formula unit
symmetry = P4/mmm, No. 123
crystal system = tetragonal
density of states at the Fermi level = 15.17 states/eV/cell


Entry 22:
Entry from Alexandria via LeMat-Bulk: a relaxed Pm2AgBi crystal (GGA-PBE).

Lattice parameters (Å, degrees): 4.159 5.212 5.212 90.00 90.00 90.00
Fractional positions:
1 Pm 0.000 0.500 0.000
2 Ag 0.500 0.500 0.500
3 Pm 0.000 0.000 0.500
4 Bi 0.500 0.000 0.000

formation enthalpy at 0 K = -2.05 eV per formula unit
symmetry = P4/mmm, No. 123
distance to the lowest polymorph of the same formula = 0.0 meV per atom
crystal system = tetragonal
density of states at the Fermi level = 3.19 states/eV/cell


Entry 23:
Entry from Alexandria via LeMat-Bulk: a relaxed MnZnNiCl2 crystal (GGA-PBE).

Lattice parameters (Å, degrees): 4.415 4.736 4.415 90.00 90.00 90.00
Site moments in Bohr magnetons follow the coordinates.
Fractional positions:
1 Ni 0.000 0.000 0.000  -0.03
2 Cl 0.000 0.000 0.500  0.06
3 Mn 0.500 0.500 0.500  4.53
4 Cl 0.500 0.000 0.000  0.08
5 Zn 0.000 0.500 0.000  0.03

total DFT energy (no corrections) = -3.70 eV per atom
symmetry = P4/mmm, No. 123
crystal system = tetragonal
density of states at the Fermi level = 2.11 states/eV/cell


Entry 24:
Entry from Alexandria via LeMat-Bulk: a relaxed Tm3PuBi4 crystal (GGA-PBE).

Lattice parameters (Å, degrees): 4.463 7.727 7.727 109.40 90.00 90.00
Site moments in Bohr magnetons follow the coordinates.
Fractional positions:
1 Bi 0.500 0.252 0.748  -0.04
2 Tm 0.000 0.500 0.000  -0.01
3 Tm 0.500 0.500 0.500  -0.08
4 Bi 0.000 0.255 0.255  -0.08
5 Bi 0.000 0.745 0.745  -0.08
6 Tm 0.000 0.000 0.500  -0.01
7 Bi 0.500 0.748 0.252  -0.04
8 Pu 0.500 0.000 0.000  5.30

formation enthalpy at 0 K = -5.28 eV per formula unit
symmetry = Cmmm, No. 65
distance to the lowest polymorph of the same formula = 0.0 meV per atom
crystal system = orthorhombic
density of states at the Fermi level = 17.81 states/eV/cell


Entry 25:
Entry from Alexandria via LeMat-Bulk: a relaxed TiTlIn2Br6 crystal (GGA-PBE).

Lattice parameters (Å, degrees): 7.932 7.932 8.127 60.75 60.75 59.92
Site moments in Bohr magnetons follow the coordinates.
Fractional positions:
1 Br 0.656 0.128 0.788  -0.01
2 In 0.530 0.530 0.411  0.00
3 In 0.017 0.017 0.949  -0.01
4 Br 0.129 0.428 0.787  -0.01
5 Br 0.211 0.005 0.238  -0.01
6 Tl 0.815 0.815 0.555  0.00
7 Br 0.545 0.212 0.238  -0.01
8 Br 0.428 0.655 0.787  -0.01
9 Br 0.005 0.546 0.237  -0.01
10 Ti 0.325 0.325 0.026  0.93

total DFT energy (no corrections) = -3.47 eV per atom
symmetry = P1, No. 1
crystal system = triclinic
density of states at the Fermi level = 6.33 states/eV/cell